Compound: ZrTaV
Source: Alexandria via LeMat-Bulk
Functional: PBE
Structure: optimized geometry

Calculated values
- symmetry = R-3m, No. 166
- energy (eV per atom) = -9.559
- total moment (μB per cell) = 0.00
- ΔH_f (0 K) (eV per atom) = 0.28
- ρ (g/cm³) = 9.44
- E above lowest polymorph (meV/atom) = 184

Cell and atoms, written as extended XYZ:
```
6
Lattice="4.808 0.000 0.000 2.404 4.164 0.000 2.404 1.388 5.679" Properties=species:S:1:pos:R:3 pbc="T T T"
V 2.404 1.388 4.591
V 7.212 4.164 1.088
Zr 4.808 2.776 0.908
Zr 4.808 2.776 4.771
Ta 2.404 1.388 2.172
Ta 7.212 4.164 3.507
```

=====

Compound: LaNd2Sm4
Source: Alexandria via LeMat-Bulk
Functional: PBE
Structure: optimized geometry

Calculated values
- symmetry = R-3m, No. 166
- energy (eV per atom) = -4.753
- total moment (μB per cell) = 0.00
- ΔH_f (0 K) (eV per atom) = 0.01
- ρ (g/cm³) = 7.04
- E above lowest polymorph (meV/atom) = 0

Cell and atoms, written as extended XYZ:
```
7
Lattice="-1.901 -3.065 0.648 1.332 -3.243 -1.067 9.450 -4.194 18.248" Properties=species:S:1:pos:R:3 pbc="T T T"
La 0.000 0.000 0.000
Nd 6.495 -5.696 12.833
Nd 2.386 -4.805 4.996
Sm 5.309 -3.296 10.350
Sm 1.204 -2.405 2.518
Sm 7.677 -8.096 15.310
Sm 3.571 -7.206 7.479
```

=====

Compound: Sc2SnPt
Source: Alexandria via LeMat-Bulk
Functional: PBE
Structure: optimized geometry

Calculated values
- symmetry = I-42d, No. 122
- energy (eV per atom) = -5.955
- total moment (μB per cell) = 0.00
- ΔH_f (0 K) (eV per atom) = -0.28
- ρ (g/cm³) = 7.44

Cell and atoms, written as extended XYZ:
```
8
Lattice="-0.266 -1.151 -4.164 3.788 -2.069 0.330 -2.856 -9.660 0.603" Properties=species:S:1:pos:R:3 pbc="T T T"
Sc -0.408 -3.398 -2.430
Sc 1.621 -3.847 -0.145
Sc -0.838 -8.443 -0.987
Sc 0.957 -10.072 -2.901
Sn 1.761 -1.610 -1.917
Sn 1.346 -6.670 -0.492
Pt 0.000 0.000 0.000
Pt -0.680 -6.211 -2.739
```

=====

Compound: RbMn3Co
Source: Alexandria via LeMat-Bulk
Functional: PBE
Structure: optimized geometry

Calculated values
- symmetry = Pm-3m, No. 221
- energy (eV per atom) = -6.175
- total moment (μB per cell) = 13.26
- ΔH_f (0 K) (eV per atom) = 0.94
- ρ (g/cm³) = 4.58
- E above lowest polymorph (meV/atom) = 0

Cell and atoms, written as extended XYZ:
```
5
Lattice="4.821 0.000 0.000 0.000 4.821 0.000 0.000 0.000 4.821" Properties=species:S:1:pos:R:3 pbc="T T T"
Mn 0.000 2.410 0.000
Mn 0.000 0.000 2.410
Mn 2.410 0.000 0.000
Co 0.000 0.000 0.000
Rb 2.410 2.410 2.410
```

=====

Compound: La2MnMoSe
Source: Alexandria via LeMat-Bulk
Functional: PBE
Structure: optimized geometry

Calculated values
- symmetry = P4/mmm, No. 123
- energy (eV per atom) = -6.645
- total moment (μB per cell) = 2.94
- energy relative to the elements, uncorrected (eV/f.u.) = 0.1
- ρ (g/cm³) = 6.03

Cell and atoms, written as extended XYZ:
```
5
Lattice="-0.594 3.204 -4.536 -1.205 -3.601 -2.386 -5.347 0.903 1.338" Properties=species:S:1:pos:R:3 pbc="T T T"
Mo 0.000 0.000 0.000
Mn -0.603 -1.801 -1.193
Se -3.573 0.253 -2.792
La -2.673 0.451 0.669
La -0.297 1.602 -2.268
```

=====

Compound: ZnNiRhW
Source: Alexandria via LeMat-Bulk
Functional: PBE
Structure: optimized geometry

Calculated values
- symmetry = F-43m, No. 216
- energy (eV per atom) = -6.838
- total moment (μB per cell) = 0.43
- ΔH_f (0 K) (eV per atom) = 0.00
- ρ (g/cm³) = 12.27

Cell and atoms, written as extended XYZ:
```
4
Lattice="4.284 0.000 0.000 2.142 3.710 0.000 2.142 1.237 3.498" Properties=species:S:1:pos:R:3 pbc="T T T"
Ni 4.284 2.473 1.749
Zn 6.426 3.710 2.623
Rh 0.000 0.000 0.000
W 2.142 1.237 0.874
```

=====

Q: ρ of number 4 (RbMn3Co)?
A: 4.58 g/cm³

=====

Q: The highest energy belongs to which entry?
A: LaNd2Sm4

=====

Q: Number 2 is which compound?
A: LaNd2Sm4

=====

Repeat the fourth record exactly.
Compound: RbMn3Co
Source: Alexandria via LeMat-Bulk
Functional: PBE
Structure: optimized geometry

Calculated values
- symmetry = Pm-3m, No. 221
- energy (eV per atom) = -6.175
- total moment (μB per cell) = 13.26
- ΔH_f (0 K) (eV per atom) = 0.94
- ρ (g/cm³) = 4.58
- E above lowest polymorph (meV/atom) = 0

Cell and atoms, written as extended XYZ:
```
5
Lattice="4.821 0.000 0.000 0.000 4.821 0.000 0.000 0.000 4.821" Properties=species:S:1:pos:R:3 pbc="T T T"
Mn 0.000 2.410 0.000
Mn 0.000 0.000 2.410
Mn 2.410 0.000 0.000
Co 0.000 0.000 0.000
Rb 2.410 2.410 2.410
```